[1]
## PmCdCl6 (PBE)

Data for a relaxed PmCdCl6 crystal.

The density of states at the Fermi level is 1.7949 states/eV/atom. The electronic total energy is -27.6 eV/cell.

The space group is P-1 (No. 2) and the conventional cell measures 6.6385, 6.6387 and 7.1740 Å, with angles of 62.66, 62.80 and 60.03 degrees. The distinct sites, in fractional coordinates, are Pm at (0.0000, 0.0000, 0.0000), Cd at (0.5000, 0.5000, 0.5000), Cl at (0.0842, 0.7459, 0.7442), Cl at (0.2573, 0.5739, 0.2520) and Cl at (0.4236, 0.0850, 0.7475).

***

[2]
## PmCdCl4 (PBE)

Data for a relaxed PmCdCl4 crystal.

The density of states at the Fermi level is 0.5275 states/eV/atom. The electronic total energy is -45.1 eV/cell.

The space group is C2/m (No. 12) and the conventional cell measures 14.5878, 4.2040 and 7.9330 Å, with angles of 90.00, 121.95 and 90.00 degrees. The distinct sites, in fractional coordinates, are Pm at (0.0000, 0.0000, 0.0000), Cd at (0.0000, 0.5000, 0.5000), Cl at (0.1018, 0.0000, 0.4005) and Cl at (0.1234, 0.5000, 0.9977).

***

[3]
## PmCdCl5 (PBE)

Data for a relaxed PmCdCl5 crystal.

The density of states at the Fermi level is 0.0000 states/eV/atom. The electronic total energy is -107.2 eV/cell.

The space group is C2/c (No. 15) and the conventional cell measures 11.4423, 8.6119 and 9.4518 Å, with angles of 90.00, 113.49 and 90.00 degrees. The distinct sites, in fractional coordinates, are Pm at (0.0000, 0.0539, 0.2500), Cd at (0.0000, 0.5000, 0.0000), Cl at (0.0000, 0.3809, 0.2500), Cl at (0.0159, 0.1824, 0.9633) and Cl at (0.2466, 0.4616, 0.6339).

***

[4]
## RbPmCd2Cl8 (PBE)

Data for a relaxed RbPmCd2Cl8 crystal.

The density of states at the Fermi level is 0.0000 states/eV/atom. The electronic total energy is -41.5 eV/cell.

The space group is P-1 (No. 2) and the conventional cell measures 6.6343, 6.6658 and 9.3259 Å, with angles of 78.48, 79.88 and 79.57 degrees. The distinct sites, in fractional coordinates, are Rb at (0.0000, 0.0000, 0.0000), Pm at (0.0000, 0.0000, 0.5000), Cd at (0.4589, 0.4456, 0.2152), Cl at (0.1711, 0.7316, 0.7270), Cl at (0.2235, 0.7832, 0.2893), Cl at (0.2997, 0.2437, 0.4629) and Cl at (0.3600, 0.3005, 0.0089).

***

[5]
## Rb2PmCdCl6 (PBE)

Data for a relaxed Rb2PmCdCl6 crystal.

The density of states at the Fermi level is 0.2343 states/eV/atom. The electronic total energy is -72.5 eV/cell.

The space group is Pmmn (No. 59, origin choice 2) and the conventional cell measures 7.7888, 11.2423 and 8.2517 Å, with angles of 90.00, 90.00 and 90.00 degrees. The distinct sites, in fractional coordinates, are Rb at (0.2500, 0.0350, 0.1983), Pm at (0.2500, 0.7500, 0.7736), Cd at (0.2500, 0.2500, 0.7202), Cl at (0.0074, 0.7500, 0.0139), Cl at (0.0120, 0.2500, 0.4405) and Cl at (0.2500, 0.5085, 0.7884).

***

[6]
## RbPmCdCl6 (PBE)

Data for a relaxed RbPmCdCl6 crystal.

The density of states at the Fermi level is 0.0000 states/eV/atom. The electronic total energy is -68.5 eV/cell.

The space group is P-31c (No. 163) and the conventional cell measures 7.0735, 7.0735 and 14.4573 Å, with angles of 90.00, 90.00 and 120.00 degrees. The distinct sites, in fractional coordinates, are Rb at (0.0000, 0.0000, 0.0000), Pm at (0.3333, 0.6667, 0.2500), Cd at (0.3333, 0.6667, 0.7500) and Cl at (0.0067, 0.3807, 0.6428).